1.
DFT (PBE-GGA) results for an optimized crystal structure of TmAlO3.

```
data_TmAlO3
_chemical_formula_sum 'Tm2 Al2 O6'
_cell_length_a 5.1746
_cell_length_b 5.1746
_cell_length_c 5.5959
_cell_angle_alpha 62.46
_cell_angle_beta 62.46
_cell_angle_gamma 60.00
_space_group_name_H-M_alt 'P 1'
_space_group_IT_number 1
loop_
_space_group_symop_operation_xyz
'x,y,z'
loop_
_atom_site_label
_atom_site_type_symbol
_atom_site_fract_x
_atom_site_fract_y
_atom_site_fract_z
_atom_site_occupancy
O1 O 0.9402 0.5340 0.2282 1
O2 O 0.2977 0.9401 0.2282 1
O3 O 0.5340 0.2976 0.2282 1
O4 O 0.4660 0.7024 0.7718 1
O5 O 0.7024 0.0599 0.7718 1
O6 O 0.0598 0.4660 0.7718 1
Al1 Al 0.6546 0.6546 0.0362 1
Al2 Al 0.3454 0.3454 0.9638 1
Tm1 Tm 0.1338 0.1338 0.5986 1
Tm2 Tm 0.8662 0.8662 0.4014 1
```

Crystal system   trigonal
E   -7.84 eV per atom
M_tot   0.00 Bohr magnetons per cell

***

2.
DFT (PBE-GGA) results for an optimized crystal structure of AlZn2O4.

```
data_AlZn2O4
_chemical_formula_sum 'Al2 Zn4 O8'
_cell_length_a 5.8648
_cell_length_b 5.8648
_cell_length_c 5.8648
_cell_angle_alpha 120.00
_cell_angle_beta 90.00
_cell_angle_gamma 120.00
_space_group_name_H-M_alt 'P 1'
_space_group_IT_number 1
loop_
_space_group_symop_operation_xyz
'x,y,z'
loop_
_atom_site_label
_atom_site_type_symbol
_atom_site_fract_x
_atom_site_fract_y
_atom_site_fract_z
_atom_site_occupancy
Al1 Al 0.0000 0.0000 0.0000 1
Al2 Al 0.7500 0.5000 0.2500 1
O1 O 0.1252 0.2504 0.8749 1
O2 O 0.1255 0.7504 0.3751 1
O3 O 0.6249 0.2496 0.8745 1
O4 O 0.1251 0.7496 0.8748 1
O5 O 0.6245 0.7496 0.8749 1
O6 O 0.6249 0.7504 0.3752 1
O7 O 0.6248 0.2496 0.3751 1
O8 O 0.1251 0.2504 0.3755 1
Zn1 Zn 0.3750 0.2500 0.6250 1
Zn2 Zn 0.8750 0.2500 0.6250 1
Zn3 Zn 0.3750 0.7500 0.6250 1
Zn4 Zn 0.3750 0.7500 0.1250 1
```

Crystal system   cubic
E   -5.43 eV per atom